KTiGa (GGA-PBE, optimized geometry); energy of formation = 1187 meV per atom; E_tot = -16.92 eV for the cell shown; ΔE to the lowest computed polymorph = 1239 meV per atom; magnetic moment = 5.09 μB/cell
1.0
5.558 0.000 0.000
-2.779 4.813 0.000
0.000 0.000 10.449
K Ti Ga
2 2 2
Direct
0.333 0.667 0.250
0.667 0.333 0.750
0.000 0.000 0.000
0.000 0.000 0.500
0.000 0.000 0.250
0.000 0.000 0.750